Record 1
VASP calculation (GGA-PBE) on a relaxed structure of Pm3SmRh2.

The structure in POSCAR format:
```
Pm3SmRh2
1.0
-4.7181 4.8420 -1.3542
0.4672 -1.5200 -7.0627
-2.8994 -6.3670 4.8888
Pm Sm Rh
6 2 4
Direct
0.2332 0.9832 0.4664 Pm
0.5000 0.2500 0.0000 Pm
0.2332 0.4832 0.4664 Pm
0.5000 0.7500 0.0000 Pm
0.7668 0.0168 0.5336 Pm
0.7668 0.5168 0.5336 Pm
0.0000 0.0000 0.0000 Sm
0.0000 0.5000 0.0000 Sm
0.5754 0.3627 0.7254 Rh
0.4246 0.6373 0.2746 Rh
0.1500 0.8627 0.7254 Rh
0.8500 0.1373 0.2746 Rh
```

Space-group type: No. 72
Formation enthalpy at 0 K in eV per atom: -0.477
E in eV per cell: -73.072



Record 2
VASP calculation (GGA-PBE) on a relaxed structure of Pr3GaRh8.

The structure in POSCAR format:
```
Pr3GaRh8
1.0
5.1570 0.0000 1.5296
2.3517 4.5896 1.5296
0.0395 0.0241 9.3252
Pr Rh Ga
3 8 1
Direct
0.0082 0.0082 0.9753 Pr
0.4943 0.4943 0.5170 Pr
0.6237 0.6237 0.1289 Pr
0.5581 0.0609 0.3201 Rh
0.0609 0.0609 0.3201 Rh
0.8105 0.8105 0.5684 Rh
0.5626 0.5626 0.8120 Rh
0.0609 0.5581 0.3201 Rh
0.0628 0.5626 0.8120 Rh
0.3112 0.3112 0.0665 Rh
0.5626 0.0628 0.8120 Rh
0.1341 0.1341 0.5978 Ga
```

Space-group type: No. 160
Formation enthalpy at 0 K in eV per atom: -0.507
E in eV per cell: -82.261



Record 3
VASP calculation (GGA-PBE) on a relaxed structure of NaZnP.

The structure in POSCAR format:
```
NaZnP
1.0
4.1475 0.0000 0.0000
0.0000 7.1943 0.0000
0.0000 0.0000 7.2555
Na P Zn
4 4 4
Direct
0.2500 0.9914 0.8252 Na
0.7500 0.5086 0.3252 Na
0.7500 0.0086 0.1748 Na
0.2500 0.4914 0.6748 Na
0.7500 0.2964 0.8944 P
0.2500 0.2036 0.3944 P
0.7500 0.7964 0.6056 P
0.2500 0.7036 0.1056 P
0.2500 0.8460 0.4221 Zn
0.7500 0.6540 0.9221 Zn
0.2500 0.3460 0.0779 Zn
0.7500 0.1540 0.5779 Zn
```

Space-group type: No. 62
Formation enthalpy at 0 K in eV per atom: -0.395
E in eV per cell: -36.751



Record 4
VASP calculation (GGA-PBE) on a relaxed structure of Ba2PaAgTe5.

The structure in POSCAR format:
```
Ba2PaAgTe5
1.0
4.6314 0.0000 0.0000
-2.3157 10.1245 0.0000
0.0000 0.0000 14.0482
Te Ba Pa Ag
10 4 2 2
Direct
0.7086 0.4171 0.1596 Te
0.2914 0.5829 0.6596 Te
0.2963 0.5926 0.3691 Te
0.4997 0.9995 0.7698 Te
0.6516 0.3032 0.5084 Te
0.5003 0.0005 0.2698 Te
0.3484 0.6968 0.0084 Te
0.7037 0.4074 0.8691 Te
0.0577 0.1154 0.0511 Te
0.9423 0.8846 0.5511 Te
0.8891 0.7782 0.1922 Ba
0.8825 0.7650 0.8190 Ba
0.1109 0.2218 0.6922 Ba
0.1175 0.2350 0.3190 Ba
0.7999 0.5998 0.5161 Pa
0.2001 0.4002 0.0161 Pa
0.5716 0.1433 0.9387 Ag
0.4284 0.8567 0.4387 Ag
```

Space-group type: No. 36
E in eV per cell: -84.190
ΔE_f (raw) in eV/atom: -1.133



Record 5
VASP calculation (GGA-PBE) on a relaxed structure of MoRuAu2.

The structure in POSCAR format:
```
MoRuAu2
1.0
-1.4857 -2.2883 -0.4122
2.5806 -0.5361 0.8165
-2.8341 0.2027 9.0904
Au Mo Ru
2 1 1
Direct
0.0000 0.0000 0.9906 Au
0.5000 0.5000 0.2587 Au
0.0000 0.0000 0.5166 Mo
0.5000 0.5000 0.7342 Ru
```

Space-group type: No. 35
Formation enthalpy at 0 K in eV per atom: 0.262
E in eV per cell: -25.614



Record 6
VASP calculation (GGA-PBE) on a relaxed structure of Sr3NdPa2As6.

The structure in POSCAR format:
```
Sr3NdPa2As6
1.0
7.4219 -0.0006 0.0000
-3.7097 6.4282 0.0000
-1.2384 -2.1443 7.1345
Pa Sr As Nd
2 3 6 1
Direct
0.6672 0.3328 0.0000 Pa
0.3328 0.6672 0.0000 Pa
0.8365 0.1635 0.5000 Sr
0.5000 0.5000 0.5000 Sr
0.1635 0.8365 0.5000 Sr
0.5791 0.9263 0.7798 As
0.7262 0.7262 0.2199 As
0.9263 0.5791 0.7798 As
0.0737 0.4209 0.2202 As
0.2738 0.2738 0.7801 As
0.4209 0.0737 0.2202 As
0.0000 0.0000 0.0000 Nd
```

Space-group type: No. 12
Formation enthalpy at 0 K in eV per atom: -1.237
E in eV per cell: -71.551



Record 7
VASP calculation (GGA-PBE) on a relaxed structure of Li8GaPb6.

The structure in POSCAR format:
```
Li8GaPb6
1.0
-2.2813 -6.8187 -4.1671
5.0692 -6.5787 -0.2972
-1.4399 -6.5004 3.1382
Li Pb Ga
8 6 1
Direct
0.9359 0.6364 0.3022 Li
0.6364 0.1256 0.3022 Li
0.2631 0.2631 0.2106 Li
0.8744 0.0641 0.6978 Li
0.1256 0.9359 0.3022 Li
0.0641 0.3636 0.6978 Li
0.3636 0.8744 0.6978 Li
0.7369 0.7369 0.7894 Li
0.8456 0.3594 0.2245 Pb
0.1544 0.6406 0.7755 Pb
0.6406 0.4295 0.7755 Pb
0.3594 0.5705 0.2245 Pb
0.5705 0.8456 0.2245 Pb
0.4295 0.1544 0.7755 Pb
0.0000 0.0000 0.0000 Ga
```

Space-group type: No. 148
Formation enthalpy at 0 K in eV per atom: -0.171
E in eV per cell: -43.156



Record 8
VASP calculation (GGA-PBE) on a relaxed structure of CeTm2Ag3Se6.

The structure in POSCAR format:
```
CeTm2Ag3Se6
1.0
4.2165 0.0000 0.0000
0.0000 9.7141 0.4427
-2.1083 -2.5278 7.7238
Se Ag Tm Ce
6 3 2 1
Direct
0.0116 0.7896 0.0233 Se
0.3118 0.8522 0.6236 Se
0.3408 0.4700 0.6817 Se
0.6882 0.1478 0.3764 Se
0.6592 0.5300 0.3183 Se
0.9884 0.2104 0.9767 Se
0.8281 0.0481 0.6562 Ag
0.5000 0.5000 0.0000 Ag
0.1719 0.9519 0.3438 Ag
0.1646 0.3407 0.3293 Tm
0.8354 0.6593 0.6707 Tm
0.5000 0.0000 0.0000 Ce
```

Space-group type: No. 12
E in eV per cell: -58.115
ΔE_f (raw) in eV/atom: -1.148



Record 9
VASP calculation (GGA-PBE) on a relaxed structure of MnPd14Pb.

The structure in POSCAR format:
```
MnPd14Pb
1.0
-1.6685 -3.8598 3.8097
5.4157 -1.3976 0.9556
0.3988 5.4173 5.6631
Pd Pb Mn
14 1 1
Direct
0.8750 0.3750 0.0000 Pd
0.1291 0.6209 0.7510 Pd
0.8750 0.8750 0.0000 Pd
0.3750 0.3750 0.0000 Pd
0.1291 0.1291 0.7510 Pd
0.3750 0.8750 0.0000 Pd
0.6209 0.6209 0.2490 Pd
0.6209 0.1291 0.2490 Pd
0.6209 0.1291 0.7510 Pd
0.3750 0.8750 0.5000 Pd
0.1291 0.1291 0.2490 Pd
0.6209 0.6209 0.7510 Pd
0.8750 0.3750 0.5000 Pd
0.1291 0.6209 0.2490 Pd
0.8750 0.8750 0.5000 Pb
0.3750 0.3750 0.5000 Mn
```

Space-group type: No. 123
Formation enthalpy at 0 K in eV per atom: -0.105
E in eV per cell: -87.260



Record 10
VASP calculation (GGA-PBE) on a relaxed structure of HfNbH2.

The structure in POSCAR format:
```
HfNbH2
1.0
-0.9004 0.6630 2.8104
0.0240 -2.1377 2.1397
4.9459 0.9149 2.9963
H Hf Nb
2 1 1
Direct
0.0722 0.0722 0.7833 H
0.2610 0.2610 0.2171 H
0.4974 0.4974 0.5077 Hf
0.6693 0.6693 0.9920 Nb
```

Space-group type: No. 160
E in eV per cell: -26.840



Record 11
VASP calculation (GGA-PBE) on a relaxed structure of Ho8ErTm4.

The structure in POSCAR format:
```
Ho8ErTm4
1.0
6.3049 -0.0004 -3.4016
-4.0698 5.8957 -0.0005
1.2445 0.8599 9.8508
Tm Ho Er
4 8 1
Direct
0.0000 0.0000 0.0000 Tm
0.0000 0.5000 0.0000 Tm
0.5000 0.5000 0.0000 Tm
0.5000 0.0000 0.0000 Tm
0.4300 0.2150 0.6449 Ho
0.4986 0.2493 0.2984 Ho
0.0491 0.2493 0.2984 Ho
0.0491 0.7998 0.2984 Ho
0.9509 0.7507 0.7016 Ho
0.5014 0.7507 0.7016 Ho
0.5700 0.7850 0.3551 Ho
0.9509 0.2002 0.7016 Ho
0.0000 0.5000 0.5000 Er
```

Space-group type: No. 166
Formation enthalpy at 0 K in eV per atom: 0.230
E in eV per cell: -56.083



Record 12
VASP calculation (GGA-PBE) on a relaxed structure of NiOsBr2.

The structure in POSCAR format:
```
NiOsBr2
1.0
4.5790 0.0268 0.0000
-0.0311 4.5789 0.0000
0.0000 0.0000 3.1700
Br Ni Os
2 1 1
Direct
0.5000 0.5000 0.0000 Br
0.0000 0.0000 0.0000 Br
0.5000 0.0000 0.5000 Ni
0.0000 0.5000 0.5000 Os
```

Space-group type: No. 123
E in eV per cell: -15.471
ΔE_f (raw) in eV/atom: 1.222



Record 13
VASP calculation (GGA-PBE) on a relaxed structure of NdDy3Tm4.

The structure in POSCAR format:
```
NdDy3Tm4
1.0
3.4174 0.0000 -0.4312
-0.1712 6.4786 -1.3566
-0.2491 -0.9518 11.7841
Tm Dy Nd
4 3 1
Direct
0.2604 0.7576 0.5208 Tm
0.8734 0.6304 0.7467 Tm
0.1266 0.3696 0.2533 Tm
0.7396 0.2424 0.4792 Tm
0.8732 0.1201 0.7465 Dy
0.0000 0.5000 0.0000 Dy
0.1268 0.8799 0.2535 Dy
0.5000 0.0000 0.0000 Nd
```

Space-group type: No. 12
Formation enthalpy at 0 K in eV per atom: 0.177
E in eV per cell: -35.044



Record 14
VASP calculation (GGA-PBE) on a relaxed structure of HgOs2Pt.

The structure in POSCAR format:
```
HgOs2Pt
1.0
-1.8333 2.0466 -0.1577
-1.8246 -1.3889 3.1878
3.5583 3.4606 3.5444
Os Hg Pt
2 1 1
Direct
0.0000 0.0000 0.4634 Os
0.0000 0.0000 0.0366 Os
0.5000 0.5000 0.7500 Hg
0.5000 0.5000 0.2500 Pt
```

Space-group type: No. 47
Formation enthalpy at 0 K in eV per atom: 0.709
E in eV per cell: -25.966



Record 15
VASP calculation (GGA-PBE) on a relaxed structure of Na2Si2Hg.

The structure in POSCAR format:
```
Na2Si2Hg
1.0
8.5599 0.0000 0.0000
0.0000 8.5599 0.0000
0.0000 0.0000 3.1202
Si Hg Na
4 2 4
Direct
0.9058 0.5942 0.0000 Si
0.0942 0.4058 0.0000 Si
0.4058 0.9058 0.0000 Si
0.5942 0.0942 0.0000 Si
0.0000 0.0000 0.0000 Hg
0.5000 0.5000 0.0000 Hg
0.1993 0.6993 0.5000 Na
0.6993 0.8007 0.5000 Na
0.8007 0.3007 0.5000 Na
0.3007 0.1993 0.5000 Na
```

Space-group type: No. 127
E in eV per cell: -26.000
ΔE_f (raw) in eV/atom: 0.157



Record 16
VASP calculation (GGA-PBE) on a relaxed structure of BeCrIn2.

The structure in POSCAR format:
```
BeCrIn2
1.0
4.7254 0.0000 0.0000
2.3627 4.0923 0.0000
2.3627 1.3641 3.8582
In Cr Be
2 1 1
Direct
0.0000 0.0000 0.0000 In
0.2500 0.2500 0.2500 In
0.7500 0.7500 0.7500 Cr
0.5000 0.5000 0.5000 Be
```

Space-group type: No. 216
Formation enthalpy at 0 K in eV per atom: 0.624
E in eV per cell: -16.329



Record 17
VASP calculation (GGA-PBE) on a relaxed structure of CaZr2Si.

The structure in POSCAR format:
```
CaZr2Si
1.0
3.5523 0.0000 0.0000
0.0000 3.5652 0.0055
0.0000 3.5561 7.6400
Si Ca Zr
1 1 2
Direct
0.5000 0.6923 0.8076 Si
0.0000 0.4576 0.5424 Ca
0.5000 0.3100 0.1903 Zr
0.0000 0.0402 0.9597 Zr
```

Space-group type: No. 25
E in eV per cell: -25.243
ΔE_f (raw) in eV/atom: -0.180



Record 18
VASP calculation (GGA-PBE) on a relaxed structure of TaBeCd2.

The structure in POSCAR format:
```
TaBeCd2
1.0
-0.8693 -2.6313 -9.4110
2.0328 -2.9147 -9.1443
0.2688 -5.1183 -8.3653
Be Ta Cd
1 1 2
Direct
0.7530 0.7530 0.7530 Be
0.4899 0.4899 0.4899 Ta
0.2463 0.2463 0.2463 Cd
0.0108 0.0108 0.0108 Cd
```

Space-group type: No. 160
Formation enthalpy at 0 K in eV per atom: 0.371
E in eV per cell: -15.925



Record 19
VASP calculation (GGA-PBE) on a relaxed structure of Tm2HfZn3.

The structure in POSCAR format:
```
Tm2HfZn3
1.0
-0.6348 1.8132 -2.8565
-1.1395 -2.8511 -1.5565
-9.5674 1.9777 3.3816
Tm Zn Hf
2 3 1
Direct
0.5000 0.5000 0.8267 Tm
0.5000 0.5000 0.1733 Tm
0.0000 0.0000 0.6490 Zn
0.0000 0.0000 0.3510 Zn
0.0000 0.0000 0.0000 Zn
0.5000 0.5000 0.5000 Hf
```

Space-group type: No. 123
Formation enthalpy at 0 K in eV per atom: -0.270
E in eV per cell: -24.339



Record 20
VASP calculation (GGA-PBE) on a relaxed structure of Nd2Ho2Er2In.

The structure in POSCAR format:
```
Nd2Ho2Er2In
1.0
-0.8480 5.4194 -1.8599
-1.9054 -3.5848 -0.5579
-5.1495 3.2350 11.7739
Nd Ho Er In
2 2 2 1
Direct
0.7085 0.4169 0.9161 Nd
0.2915 0.5831 0.0839 Nd
0.5655 0.1310 0.6281 Ho
0.4345 0.8690 0.3719 Ho
0.8644 0.7288 0.2297 Er
0.1356 0.2712 0.7703 Er
0.0000 0.0000 0.5000 In
```

Space-group type: No. 12
Formation enthalpy at 0 K in eV per atom: -0.028
E in eV per cell: -30.750